A plane-wave DFT calculation with PBE-GGA was carried out for a relaxed CsIF2 crystal.

Cell and atoms, written as CIF:
```
data_CsIF2
_cell_length_a 4.6261
_cell_length_b 4.6261
_cell_length_c 16.5128
_cell_angle_alpha 90.00
_cell_angle_beta 90.00
_cell_angle_gamma 120.00
_space_group_name_H-M_alt 'R -3 m'
_space_group_IT_number 166
_space_group_name_Hall '-R 3 2"'
loop_
_atom_site_label
_atom_site_type_symbol
_atom_site_fract_x
_atom_site_fract_y
_atom_site_fract_z
Cs1 Cs 0.0000 0.0000 0.0000
I1 I 0.0000 0.0000 0.5000
F1 F 0.0000 0.0000 0.2269
```

Output
For the uncorrected formation energy, the calculation gives -1.33 eV/atom. As for the spin magnetization: 1.998 μB per formula unit. For the relative energy among the computed polymorphs, the calculation gives 574 meV per atom.



A plane-wave DFT calculation with PBE-GGA was carried out for a relaxed Pm2TmIn9 crystal.

Cell and atoms, written as CIF:
```
data_Pm2TmIn9
_cell_length_a 4.672
_cell_length_b 4.672
_cell_length_c 13.991
_cell_angle_alpha 90.00
_cell_angle_beta 90.00
_cell_angle_gamma 90.00
_space_group_name_H-M_alt 'P 4/m m m'
_space_group_IT_number 123
_space_group_name_Hall '-P 4 2'
loop_
_atom_site_label
_atom_site_type_symbol
_atom_site_fract_x
_atom_site_fract_y
_atom_site_fract_z
Pm1 Pm 0.000 0.000 0.168
Tm1 Tm 0.000 0.000 0.500
In1 In 0.000 0.500 0.000
In2 In 0.000 0.500 0.338
In3 In 0.500 0.500 0.167
In4 In 0.500 0.500 0.500
```

Output
The value obtained for the density of states at the Fermi level is 4.850 states/eV per cell. As for the spin magnetization: 0.000 μB per formula unit. The calculation puts the formation enthalpy at 0 K at -0.43 eV/atom.



A plane-wave DFT calculation with PBE-GGA was carried out for a relaxed U3In5S12 crystal.

Cell and atoms, written as CIF:
```
data_U3In5S12
_cell_length_a 15.790
_cell_length_b 15.790
_cell_length_c 15.790
_cell_angle_alpha 90.00
_cell_angle_beta 90.00
_cell_angle_gamma 90.00
_space_group_name_H-M_alt 'I a -3 d'
_space_group_IT_number 230
_space_group_name_Hall '-I 4bd 2c 3'
loop_
_atom_site_label
_atom_site_type_symbol
_atom_site_fract_x
_atom_site_fract_y
_atom_site_fract_z
U1 U 0.000 0.250 0.125
In1 In 0.000 0.000 0.000
In2 In 0.000 0.250 0.375
S1 S 0.020 0.067 0.654
```

Output
The value obtained for the density of states at the Fermi level is 203.211 states/eV per cell. For the uncorrected formation energy, the calculation gives -0.80 eV/atom. As for the spin magnetization: 7.997 μB per formula unit.



What is the spin magnetization in the first record? 1.998 μB per formula unit